Entry 1:
Pm3NiRh8 after structural relaxation, computed with PBE.

Calculated values
As for the symmetry: No. 160.

Cell lengths 5.340, 5.340, 9.282 Å; angles 73.28, 73.28, 60.00 degrees
Each line ends with the local moment (μB).
Fractional positions:
Pm 0.622 0.622 0.133  -0.02
Pm 0.491 0.491 0.526  -0.02
Pm 0.011 0.011 0.966  -0.01
Rh 0.310 0.310 0.069  0.02
Rh 0.059 0.059 0.323  0.14
Rh 0.061 0.561 0.816  0.02
Rh 0.809 0.809 0.572  0.02
Rh 0.561 0.561 0.816  0.02
Rh 0.560 0.059 0.323  0.14
Rh 0.059 0.560 0.323  0.14
Rh 0.561 0.061 0.816  0.02
Ni 0.144 0.144 0.567  0.61

Entry 2:
LiGe2MoPd after structural relaxation, computed with PBE.

Calculated values
As for the symmetry: No. 123.

Cell lengths 4.790, 4.790, 4.795 Å; angles 90.00, 90.00, 90.00 degrees
Each line ends with the local moment (μB).
Fractional positions:
Pd 0.500 0.500 0.500  0.08
Li 0.000 0.000 0.500  0.09
Mo 0.000 0.000 0.000  0.91
Ge 0.000 0.500 0.000  -0.03
Ge 0.500 0.000 0.000  -0.03

| no. | electronic total energy (eV/atom) |
| --- | --- |
| 1 | -6.996 |
| 2 | -4.670 |